Computed, not measured: an optimized crystal structure of SrYCuAg at the GGA-PBE level of DFT.

```
SrYCuAg
1.0
5.227 0.000 0.000
2.613 4.526 0.000
2.613 1.509 4.268
Sr Y Cu Ag
1 1 1 1
direct
0.250 0.250 0.250
0.750 0.750 0.750
0.500 0.500 0.500
0.000 0.000 0.000
```

Calculated values
magnetic moment = 0.00 μB/atom
space-group type = No. 216
E_form = -0.1046 eV/atom